The following is a GGA-PBEsol calculation of a relaxed structure of ZrP3, from the Alexandria database.

a b c (Å): 3.098 3.098 6.949
angles (deg): 90.00 90.00 107.49
Sites, in units of the cell vectors:
1 P 0.000 0.000 0.237
2 P 0.500 0.500 0.000
3 P 0.000 0.000 0.763
4 Zr 0.500 0.500 0.500

Calculated values
Calculated density ... 4.8 g cm⁻³
Energy of formation from the pure elements ... -0.140 eV/atom
Calculated volume ... 15.90 Å³ per atom
Total energy ... -6.756 eV/atom
Crystal system ... orthorhombic


The following is a GGA-PBEsol calculation of a relaxed structure of ZrP3, from the Alexandria database.

a b c (Å): 3.532 3.768 5.264
angles (deg): 90.00 90.00 90.00
Sites, in units of the cell vectors:
1 P 0.000 0.835 0.000
2 P 0.500 0.448 0.000
3 P 0.500 0.277 0.500
4 Zr 0.000 0.773 0.500

Calculated values
Calculated density ... 4.4 g cm⁻³
Energy of formation from the pure elements ... -0.479 eV/atom
Calculated volume ... 17.52 Å³ per atom
Total energy ... -7.095 eV/atom
Crystal system ... orthorhombic


The following is a GGA-PBEsol calculation of a relaxed structure of ZrP2, from the Alexandria database.

a b c (Å): 3.474 6.418 8.723
angles (deg): 90.00 90.00 90.00
Sites, in units of the cell vectors:
1 P 0.750 0.612 0.540
2 P 0.250 0.888 0.040
3 P 0.250 0.388 0.460
4 P 0.750 0.112 0.960
5 P 0.750 0.597 0.142
6 P 0.250 0.903 0.642
7 P 0.250 0.403 0.858
8 P 0.750 0.097 0.358
9 Zr 0.750 0.223 0.664
10 Zr 0.250 0.277 0.164
11 Zr 0.250 0.777 0.336
12 Zr 0.750 0.723 0.836

Calculated values
Calculated density ... 5.2 g cm⁻³
Energy of formation from the pure elements ... -1.070 eV/atom
Calculated volume ... 16.21 Å³ per atom
Total energy ... -7.961 eV/atom
Crystal system ... orthorhombic


The following is a GGA-PBEsol calculation of a relaxed structure of ZrP, from the Alexandria database.

a b c (Å): 3.660 3.660 12.478
angles (deg): 90.00 90.00 120.00
Sites, in units of the cell vectors:
1 P 0.000 0.000 0.000
2 P 0.000 0.000 0.500
3 P 0.667 0.333 0.250
4 P 0.333 0.667 0.750
5 Zr 0.667 0.333 0.884
6 Zr 0.333 0.667 0.384
7 Zr 0.333 0.667 0.116
8 Zr 0.667 0.333 0.616

Calculated values
Calculated density ... 5.6 g cm⁻³
Energy of formation from the pure elements ... -1.458 eV/atom
Calculated volume ... 18.09 Å³ per atom
Total energy ... -8.898 eV/atom
Crystal system ... hexagonal


The following is a GGA-PBEsol calculation of a relaxed structure of Zr2P, from the Alexandria database.

a b c (Å): 3.582 17.411 17.411
angles (deg): 114.29 90.00 90.00
Sites, in units of the cell vectors:
1 P 0.500 0.918 0.792
2 P 0.500 0.082 0.208
3 P 0.500 0.792 0.918
4 P 0.500 0.208 0.082
5 P 0.500 0.717 0.581
6 P 0.500 0.283 0.419
7 P 0.500 0.581 0.717
8 P 0.500 0.419 0.283
9 P 0.000 0.961 0.627
10 P 0.000 0.039 0.373
11 P 0.000 0.627 0.961
12 P 0.000 0.373 0.039
13 P 0.000 0.178 0.608
14 P 0.000 0.822 0.392
15 P 0.000 0.608 0.178
16 P 0.000 0.392 0.822
17 P 0.500 0.156 0.844
18 P 0.500 0.844 0.156
19 Zr 0.500 0.086 0.654
20 Zr 0.500 0.914 0.346
21 Zr 0.500 0.654 0.086
22 Zr 0.500 0.346 0.914
23 Zr 0.500 0.142 0.481
24 Zr 0.500 0.858 0.519
25 Zr 0.500 0.481 0.142
26 Zr 0.500 0.519 0.858
27 Zr 0.000 0.834 0.669
28 Zr 0.000 0.166 0.331
29 Zr 0.000 0.669 0.834
30 Zr 0.000 0.331 0.166
31 Zr 0.000 0.032 0.789
32 Zr 0.000 0.968 0.211
33 Zr 0.000 0.789 0.032
34 Zr 0.000 0.211 0.968
35 Zr 0.000 0.301 0.538
36 Zr 0.000 0.699 0.462
37 Zr 0.000 0.538 0.301
38 Zr 0.000 0.462 0.699
39 Zr 0.500 0.750 0.750
40 Zr 0.500 0.250 0.250
41 Zr 0.000 0.893 0.893
42 Zr 0.000 0.107 0.107
43 Zr 0.000 0.615 0.615
44 Zr 0.000 0.385 0.385
45 Zr 0.500 0.058 0.942
46 Zr 0.500 0.942 0.058
47 Zr 0.500 0.308 0.692
48 Zr 0.500 0.692 0.308
49 Zr 0.500 0.447 0.553
50 Zr 0.500 0.553 0.447
51 Zr 0.000 0.222 0.778
52 Zr 0.000 0.778 0.222
53 Zr 0.000 0.000 0.500
54 Zr 0.000 0.500 0.000

Calculated values
Calculated density ... 6.4 g cm⁻³
Energy of formation from the pure elements ... -1.156 eV/atom
Calculated volume ... 18.33 Å³ per atom
Total energy ... -9.147 eV/atom
Crystal system ... orthorhombic


The following is a GGA-PBEsol calculation of a relaxed structure of Zr2P, from the Alexandria database.

a b c (Å): 3.728 7.091 7.091
angles (deg): 120.00 90.00 90.00
Sites, in units of the cell vectors:
1 P 0.000 0.667 0.333
2 P 0.000 0.333 0.667
3 P 0.500 0.000 0.000
4 Zr 0.000 0.745 0.745
5 Zr 0.000 0.000 0.255
6 Zr 0.000 0.255 0.000
7 Zr 0.500 0.410 0.410
8 Zr 0.500 0.000 0.590
9 Zr 0.500 0.590 0.000

Calculated values
Calculated density ... 6.6 g cm⁻³
Energy of formation from the pure elements ... -1.118 eV/atom
Calculated volume ... 18.03 Å³ per atom
Total energy ... -9.108 eV/atom
Crystal system ... hexagonal


The following is a GGA-PBEsol calculation of a relaxed structure of Zr2P, from the Alexandria database.

a b c (Å): 5.216 5.216 5.216
angles (deg): 104.97 104.97 118.90
Sites, in units of the cell vectors:
1 P 0.750 0.750 0.000
2 P 0.250 0.250 0.000
3 Zr 0.838 0.338 0.176
4 Zr 0.162 0.662 0.824
5 Zr 0.338 0.162 0.500
6 Zr 0.662 0.838 0.500

Calculated values
Calculated density ... 6.6 g cm⁻³
Energy of formation from the pure elements ... -1.128 eV/atom
Calculated volume ... 17.83 Å³ per atom
Total energy ... -9.119 eV/atom
Crystal system ... tetragonal


The following is a GGA-PBEsol calculation of a relaxed structure of ZrP, from the Alexandria database.

a b c (Å): 3.898 3.898 11.501
angles (deg): 90.00 90.00 120.00
Sites, in units of the cell vectors:
1 P 0.000 0.000 0.750
2 P 0.000 0.000 0.250
3 P 0.667 0.333 0.250
4 P 0.333 0.667 0.750
5 Zr 0.667 0.333 0.882
6 Zr 0.333 0.667 0.382
7 Zr 0.333 0.667 0.118
8 Zr 0.667 0.333 0.618

Calculated values
Calculated density ... 5.4 g cm⁻³
Energy of formation from the pure elements ... -0.370 eV/atom
Calculated volume ... 18.92 Å³ per atom
Total energy ... -7.811 eV/atom
Crystal system ... hexagonal


The following is a GGA-PBEsol calculation of a relaxed structure of Zr2P, from the Alexandria database.

a b c (Å): 3.345 4.236 4.236
angles (deg): 90.00 90.00 90.00
Sites, in units of the cell vectors:
1 P 0.000 0.000 0.000
2 Zr 0.500 0.000 0.500
3 Zr 0.500 0.500 0.000

Calculated values
Calculated density ... 5.9 g cm⁻³
Energy of formation from the pure elements ... -0.692 eV/atom
Calculated volume ... 20.01 Å³ per atom
Total energy ... -8.682 eV/atom
Crystal system ... tetragonal


The following is a GGA-PBEsol calculation of a relaxed structure of PaSnPd2, from the Alexandria database.

a b c (Å): 4.785 4.785 4.785
angles (deg): 60.00 60.00 60.00
Sites, in units of the cell vectors:
1 Pa 0.000 0.000 0.000
2 Sn 0.500 0.500 0.500
3 Pd 0.750 0.750 0.750
4 Pd 0.250 0.250 0.250

Calculated values
Calculated density ... 12.1 g cm⁻³
Energy of formation from the pure elements ... -0.611 eV/atom
Calculated volume ... 19.36 Å³ per atom
Total energy ... -7.212 eV/atom
Crystal system ... cubic


The following is a GGA-PBEsol calculation of a relaxed structure of PaPt5, from the Alexandria database.

a b c (Å): 5.240 5.240 5.240
angles (deg): 60.00 60.00 60.00
Sites, in units of the cell vectors:
1 Pa 0.000 0.000 0.000
2 Pt 0.750 0.750 0.750
3 Pt 0.874 0.375 0.375
4 Pt 0.375 0.375 0.375
5 Pt 0.375 0.874 0.375
6 Pt 0.375 0.375 0.874

Calculated values
Calculated density ... 19.7 g cm⁻³
Energy of formation from the pure elements ... -0.747 eV/atom
Calculated volume ... 16.96 Å³ per atom
Total energy ... -8.255 eV/atom
Crystal system ... cubic


The following is a GGA-PBEsol calculation of a relaxed structure of PaRh3, from the Alexandria database.

a b c (Å): 3.996 3.996 3.996
angles (deg): 90.00 90.00 90.00
Sites, in units of the cell vectors:
1 Pa 0.000 0.000 0.000
2 Rh 0.500 0.000 0.500
3 Rh 0.000 0.500 0.500
4 Rh 0.500 0.500 0.000

Calculated values
Calculated density ... 14.0 g cm⁻³
Energy of formation from the pure elements ... -0.876 eV/atom
Calculated volume ... 15.95 Å³ per atom
Total energy ... -9.538 eV/atom
Crystal system ... cubic


The following is a GGA-PBEsol calculation of a relaxed structure of YPaRu2, from the Alexandria database.

a b c (Å): 4.767 4.767 4.767
angles (deg): 60.00 60.00 60.00
Sites, in units of the cell vectors:
1 Y 0.000 0.000 0.000
2 Ru 0.250 0.250 0.250
3 Ru 0.750 0.750 0.750
4 Pa 0.500 0.500 0.500

Calculated values
Calculated density ... 11.3 g cm⁻³
Energy of formation from the pure elements ... -0.323 eV/atom
Calculated volume ... 19.14 Å³ per atom
Total energy ... -9.673 eV/atom
Crystal system ... cubic


The following is a GGA-PBEsol calculation of a relaxed structure of Pa4SbS3, from the Alexandria database.

a b c (Å): 5.650 5.647 6.612
angles (deg): 69.64 65.84 89.99
Sites, in units of the cell vectors:
1 Sb 0.000 0.500 0.500
2 S 0.749 0.751 0.000
3 S 0.251 0.249 0.000
4 S 0.500 0.000 0.500
5 Pa 0.264 0.762 0.970
6 Pa 0.736 0.238 0.030
7 Pa 0.500 0.500 0.500
8 Pa 0.000 0.000 0.500

Calculated values
Calculated density ... 10.7 g cm⁻³
Energy relative to the elements, uncorrected ... -1204 meV per atom
Calculated volume ... 22.25 Å³ per atom
Total energy ... -8.533 eV/atom
Crystal system ... triclinic


The following is a GGA-PBEsol calculation of a relaxed structure of PaSeS2, from the Alexandria database.

a b c (Å): 4.039 4.040 10.674
angles (deg): 90.00 100.91 90.00
Sites, in units of the cell vectors:
1 S 0.572 0.750 0.143
2 S 0.428 0.250 0.857
3 S 0.072 0.250 0.144
4 S 0.928 0.750 0.856
5 Pa 0.152 0.750 0.304
6 Pa 0.848 0.250 0.696
7 Se 0.705 0.250 0.409
8 Se 0.295 0.750 0.591

Calculated values
Calculated density ... 7.3 g cm⁻³
Energy relative to the elements, uncorrected ... -1141 meV per atom
Calculated volume ... 21.38 Å³ per atom
Total energy ... -6.853 eV/atom
Crystal system ... orthorhombic


The following is a GGA-PBEsol calculation of a relaxed structure of PaSb2, from the Alexandria database.

a b c (Å): 4.280 4.280 8.603
angles (deg): 90.00 90.00 90.00
Sites, in units of the cell vectors:
1 Sb 0.000 0.500 0.359
2 Sb 0.500 0.000 0.641
3 Sb 0.000 0.000 0.000
4 Sb 0.500 0.500 0.000
5 Pa 0.000 0.500 0.722
6 Pa 0.500 0.000 0.278

Calculated values
Calculated density ... 10.0 g cm⁻³
Energy relative to the elements, uncorrected ... -531 meV per atom
Calculated volume ... 26.27 Å³ per atom
Total energy ... -6.980 eV/atom
Crystal system ... tetragonal


The following is a GGA-PBEsol calculation of a relaxed structure of ScPaTc2, from the Alexandria database.

a b c (Å): 4.654 4.654 4.654
angles (deg): 60.00 60.00 60.00
Sites, in units of the cell vectors:
1 Sc 0.000 0.000 0.000
2 Pa 0.500 0.500 0.500
3 Tc 0.750 0.750 0.750
4 Tc 0.250 0.250 0.250

Calculated values
Calculated density ... 11.0 g cm⁻³
Energy of formation from the pure elements ... -0.300 eV/atom
Calculated volume ... 17.82 Å³ per atom
Total energy ... -10.142 eV/atom
Crystal system ... cubic


The following is a GGA-PBEsol calculation of a relaxed structure of PaSi3, from the Alexandria database.

a b c (Å): 4.074 4.074 4.074
angles (deg): 90.00 90.00 90.00
Sites, in units of the cell vectors:
1 Si 0.000 0.500 0.500
2 Si 0.500 0.000 0.500
3 Si 0.500 0.500 0.000
4 Pa 0.000 0.000 0.000

Calculated values
Calculated density ... 7.7 g cm⁻³
Energy relative to the elements, uncorrected ... -506 meV per atom
Calculated volume ... 16.91 Å³ per atom
Total energy ... -7.373 eV/atom
Crystal system ... cubic


The following is a GGA-PBEsol calculation of a relaxed structure of PaSiTc2, from the Alexandria database.

a b c (Å): 4.520 4.520 4.520
angles (deg): 60.00 60.00 60.00
Sites, in units of the cell vectors:
1 Si 0.500 0.500 0.500
2 Pa 0.000 0.000 0.000
3 Tc 0.250 0.250 0.250
4 Tc 0.750 0.750 0.750

Calculated values
Calculated density ... 11.6 g cm⁻³
Energy relative to the elements, uncorrected ... -321 meV per atom
Calculated volume ... 16.33 Å³ per atom
Total energy ... -9.949 eV/atom
Crystal system ... cubic


The following is a GGA-PBEsol calculation of a relaxed structure of Pa3Te, from the Alexandria database.

a b c (Å): 4.515 4.515 4.515
angles (deg): 90.00 90.00 90.00
Sites, in units of the cell vectors:
1 Pa 0.000 0.500 0.500
2 Pa 0.500 0.000 0.500
3 Pa 0.500 0.500 0.000
4 Te 0.000 0.000 0.000

Calculated values
Calculated density ... 14.8 g cm⁻³
Energy relative to the elements, uncorrected ... -411 meV per atom
Calculated volume ... 23.00 Å³ per atom
Total energy ... -8.965 eV/atom
Crystal system ... cubic